Below is an optimized crystal structure of AlSbAs2, with properties calculated at the PBE-GGA level.

Unit cell a=3.923 b=4.765 c=5.059 alpha=71.90 beta=90.00 gamma=90.00
Fractional positions:
Sb1 0.500 0.250 0.250
As1 0.000 0.018 0.946
As2 0.000 0.482 0.554
Al1 0.500 0.750 0.750

ΔE_f (raw) (eV/atom): -0.0307
VASP energy (eV per atom): -4.32
Excess energy over the best structure of this formula in the dataset (eV per atom): 0.0220
Theoretical density (g cm⁻³): 5.52
N(E_F) (states/eV/cell): 1.60
Total moment (μB/f.u.): 0.0